Record 1
Below is an optimized crystal structure of CsHfTe4Au3, with properties calculated at the PBE-GGA level.

As for the relative energy among the computed polymorphs: 105 meV per atom. The calculation puts the spin magnetization at 0.00 μB per formula unit.

The space group is P-43m (No. 215) and the conventional cell measures 6.925, 6.925 and 6.925 Å, with angles of 90.00, 90.00 and 90.00 degrees. The inequivalent atoms are Cs at (0.000, 0.000, 0.000), Hf at (0.500, 0.500, 0.500), Te at (0.275, 0.275, 0.275) and Au at (0.000, 0.500, 0.500).

Record 2
Below is an optimized crystal structure of CsHfTe4Au3, with properties calculated at the PBE-GGA level.

As for the relative energy among the computed polymorphs: 0 meV per atom. The calculation puts the spin magnetization at 0.01 μB per formula unit.

The space group is P2_1/m (No. 11) and the conventional cell measures 6.606, 8.263 and 10.928 Å, with angles of 90.00, 105.80 and 90.00 degrees. The inequivalent atoms are Cs at (0.200, 0.250, 0.392), Hf at (0.366, 0.750, 0.206), Te at (0.050, 0.750, 0.973), Te at (0.200, 0.750, 0.407), Te at (0.369, 0.517, 0.753), Au at (0.133, 0.250, 0.812) and Au at (0.310, 0.047, 0.031).

Record 3
Below is an optimized crystal structure of CsHg2Au2, with properties calculated at the PBE-GGA level.

As for the relative energy among the computed polymorphs: 0 meV per atom.

The space group is I4/mmm (No. 139) and the conventional cell measures 4.842, 4.842 and 12.136 Å, with angles of 90.00, 90.00 and 90.00 degrees. The inequivalent atoms are Cs at (0.000, 0.000, 0.000), Hg at (0.000, 0.500, 0.250) and Au at (0.000, 0.000, 0.387).

Record 4
Below is an optimized crystal structure of Cs2HgAu, with properties calculated at the PBE-GGA level.

As for the electronic total energy: -6.46 eV/f.u.

The space group is Amm2 (No. 38) and the conventional cell measures 5.105, 5.320 and 13.395 Å, with angles of 90.00, 90.00 and 90.00 degrees. The inequivalent atoms are Cs at (0.000, 0.000, 0.000), Cs at (0.500, 0.000, 0.284), Hg at (0.000, 0.000, 0.701) and Au at (0.500, 0.000, 0.584).

Number 4 is which compound? Cs2HgAu